Crystalline NaMgTa2Br at its relaxed geometry, computed with GGA-PBE.

Cell lengths 4.785, 5.318, 4.785 Å; angles 90.00, 90.00, 90.00 degrees
Fractional coordinates of all 5 atoms:
Ta (0.000, 0.000, 0.500)
Ta (0.500, 0.000, 0.000)
Na (0.500, 0.500, 0.500)
Mg (0.000, 0.500, 0.000)
Br (0.000, 0.000, 0.000)

Output
- total energy (eV/f.u.) = -21.74
- theoretical density (Mg/m³) = 6.67
- calculated volume (Å³ per atom) = 24.3
- energy relative to the elements, uncorrected (eV/atom) = 1.31

Crystalline NaTbMg2Br8 at its relaxed geometry, computed with GGA-PBE.

Cell lengths 6.756, 6.514, 8.232 Å; angles 90.00, 90.00, 89.81 degrees
Fractional coordinates of all 12 atoms:
Br (0.816, 0.236, 0.241)
Br (0.663, 0.713, 0.500)
Br (0.668, 0.717, 0.000)
Br (0.332, 0.283, 0.000)
Br (0.184, 0.764, 0.241)
Br (0.337, 0.287, 0.500)
Br (0.816, 0.236, 0.759)
Br (0.184, 0.764, 0.759)
Na (0.000, 0.000, 0.500)
Mg (0.500, 0.500, 0.737)
Mg (0.500, 0.500, 0.263)
Tb (0.000, 0.000, 0.000)

Output
- total energy (eV/f.u.) = -41.33
- theoretical density (Mg/m³) = 3.99
- calculated volume (Å³ per atom) = 30.2
- energy relative to the elements, uncorrected (eV/atom) = -1.57

Crystalline NaTbMgBr6 at its relaxed geometry, computed with GGA-PBE.

Cell lengths 7.079, 7.079, 13.362 Å; angles 90.00, 90.00, 120.00 degrees
Fractional coordinates of all 18 atoms:
Br (0.636, 0.987, 0.368)
Br (0.013, 0.364, 0.132)
Br (0.351, 0.987, 0.132)
Br (0.649, 0.636, 0.632)
Br (0.649, 0.013, 0.868)
Br (0.013, 0.649, 0.368)
Br (0.351, 0.364, 0.368)
Br (0.364, 0.013, 0.632)
Br (0.987, 0.636, 0.868)
Br (0.636, 0.649, 0.132)
Br (0.364, 0.351, 0.868)
Br (0.987, 0.351, 0.632)
Na (0.000, 0.000, 0.000)
Na (0.000, 0.000, 0.500)
Mg (0.667, 0.333, 0.750)
Mg (0.333, 0.667, 0.250)
Tb (0.667, 0.333, 0.250)
Tb (0.333, 0.667, 0.750)

Output
- total energy (eV/f.u.) = -32.58
- theoretical density (Mg/m³) = 3.93
- calculated volume (Å³ per atom) = 32.2
- energy relative to the elements, uncorrected (eV/atom) = -1.67

Crystalline NaMgTlBr6 at its relaxed geometry, computed with GGA-PBE.

Cell lengths 7.018, 7.018, 13.398 Å; angles 90.00, 90.00, 120.00 degrees
Fractional coordinates of all 18 atoms:
Br (0.647, 0.012, 0.368)
Br (0.988, 0.635, 0.368)
Br (0.012, 0.647, 0.868)
Br (0.365, 0.353, 0.368)
Br (0.353, 0.365, 0.868)
Br (0.365, 0.012, 0.132)
Br (0.635, 0.647, 0.632)
Br (0.647, 0.635, 0.132)
Br (0.353, 0.988, 0.632)
Br (0.635, 0.988, 0.868)
Br (0.988, 0.353, 0.132)
Br (0.012, 0.365, 0.632)
Na (0.000, 0.000, 0.000)
Na (0.000, 0.000, 0.500)
Tl (0.333, 0.667, 0.250)
Tl (0.667, 0.333, 0.750)
Mg (0.667, 0.333, 0.250)
Mg (0.333, 0.667, 0.750)

Output
- total energy (eV/f.u.) = -24.58
- theoretical density (Mg/m³) = 4.25
- calculated volume (Å³ per atom) = 31.7
- energy relative to the elements, uncorrected (eV/atom) = -1.03

Crystalline Na3MgTl3Br8 at its relaxed geometry, computed with GGA-PBE.

Cell lengths 8.684, 8.689, 9.219 Å; angles 118.14, 90.00, 119.98 degrees
Fractional coordinates of all 15 atoms:
Br (0.217, 0.434, 0.698)
Br (0.217, 0.981, 0.698)
Br (0.262, 0.523, 0.285)
Br (0.236, 0.019, 0.302)
Br (0.783, 0.566, 0.302)
Br (0.783, 0.019, 0.302)
Br (0.764, 0.981, 0.698)
Br (0.738, 0.477, 0.715)
Tl (0.000, 0.500, 0.000)
Tl (0.000, 0.000, 0.000)
Tl (0.500, 0.500, 0.000)
Na (0.500, 0.500, 0.500)
Na (0.000, 0.500, 0.500)
Na (0.500, 0.000, 0.500)
Mg (0.000, 0.000, 0.500)

Output
- total energy (eV/f.u.) = -44.86
- theoretical density (Mg/m³) = 4.42
- calculated volume (Å³ per atom) = 33.7
- energy relative to the elements, uncorrected (eV/atom) = -1.26

Crystalline Na2MgTl3Br6 at its relaxed geometry, computed with GGA-PBE.

Cell lengths 7.204, 7.204, 8.726 Å; angles 98.50, 98.50, 120.41 degrees
Fractional coordinates of all 12 atoms:
Na (0.336, 0.664, 0.000)
Na (0.664, 0.336, 0.000)
Br (0.625, 0.931, 0.813)
Br (0.767, 0.767, 0.200)
Br (0.069, 0.375, 0.187)
Br (0.233, 0.233, 0.800)
Br (0.375, 0.069, 0.187)
Br (0.931, 0.625, 0.813)
Tl (0.181, 0.819, 0.500)
Tl (0.819, 0.181, 0.500)
Tl (0.500, 0.500, 0.500)
Mg (0.000, 0.000, 0.000)

Output
- total energy (eV/f.u.) = -34.47
- theoretical density (Mg/m³) = 5.18
- calculated volume (Å³ per atom) = 31.1
- energy relative to the elements, uncorrected (eV/atom) = -1.09

Crystalline NaTmMgBr6 at its relaxed geometry, computed with GGA-PBE.

Cell lengths 7.016, 7.016, 13.360 Å; angles 90.00, 90.00, 120.00 degrees
Fractional coordinates of all 18 atoms:
Br (0.008, 0.645, 0.367)
Br (0.992, 0.637, 0.867)
Br (0.645, 0.008, 0.867)
Br (0.637, 0.992, 0.367)
Br (0.637, 0.645, 0.133)
Br (0.008, 0.363, 0.133)
Br (0.355, 0.992, 0.133)
Br (0.992, 0.355, 0.633)
Br (0.645, 0.637, 0.633)
Br (0.363, 0.008, 0.633)
Br (0.363, 0.355, 0.867)
Br (0.355, 0.363, 0.367)
Mg (0.333, 0.667, 0.250)
Mg (0.667, 0.333, 0.750)
Na (0.000, 0.000, 0.000)
Na (0.000, 0.000, 0.500)
Tm (0.333, 0.667, 0.750)
Tm (0.667, 0.333, 0.250)

Output
- total energy (eV/f.u.) = -32.39
- theoretical density (Mg/m³) = 4.06
- calculated volume (Å³ per atom) = 31.6
- energy relative to the elements, uncorrected (eV/atom) = -1.66

Crystalline NaMgUBr6 at its relaxed geometry, computed with GGA-PBE.

Cell lengths 7.196, 7.196, 13.350 Å; angles 90.00, 90.00, 120.00 degrees
Last column: magnetic moment on the atom in μB.
Fractional coordinates of all 18 atoms:
Mg (0.667, 0.333, 0.250)  0.00
Mg (0.333, 0.667, 0.750)  0.00
Br (0.657, 0.635, 0.131)  -0.01
Br (0.022, 0.657, 0.869)  -0.01
Br (0.978, 0.343, 0.131)  -0.01
Br (0.635, 0.978, 0.869)  -0.01
Br (0.343, 0.978, 0.631)  -0.01
Br (0.022, 0.365, 0.631)  -0.01
Br (0.978, 0.635, 0.369)  -0.01
Br (0.343, 0.365, 0.869)  -0.01
Br (0.657, 0.022, 0.369)  -0.01
Br (0.635, 0.657, 0.631)  -0.01
Br (0.365, 0.022, 0.131)  -0.01
Br (0.365, 0.343, 0.369)  -0.01
U (0.667, 0.333, 0.750)  2.92
U (0.333, 0.667, 0.250)  2.92
Na (0.000, 0.000, 0.000)  0.00
Na (0.000, 0.000, 0.500)  0.00

Output
- total energy (eV/f.u.) = -36.69
- theoretical density (Mg/m³) = 4.24
- calculated volume (Å³ per atom) = 33.3
- energy relative to the elements, uncorrected (eV/atom) = -1.38

Crystalline NaY2MgBr at its relaxed geometry, computed with GGA-PBE.

Cell lengths 5.495, 5.191, 5.495 Å; angles 90.00, 90.00, 90.00 degrees
Fractional coordinates of all 5 atoms:
Mg (0.500, 0.500, 0.500)
Na (0.000, 0.500, 0.000)
Y (0.500, 0.000, 0.000)
Y (0.000, 0.000, 0.500)
Br (0.000, 0.000, 0.000)

Output
- total energy (eV/f.u.) = -17.96
- theoretical density (Mg/m³) = 3.23
- calculated volume (Å³ per atom) = 31.4
- energy relative to the elements, uncorrected (eV/atom) = -0.09

Crystalline Na2MgZnBr6 at its relaxed geometry, computed with GGA-PBE.

Cell lengths 7.162, 7.153, 7.424 Å; angles 61.20, 61.04, 59.89 degrees
Fractional coordinates of all 10 atoms:
Br (0.584, 0.191, 0.262)
Br (0.459, 0.687, 0.766)
Br (0.686, 0.089, 0.766)
Br (0.087, 0.460, 0.765)
Br (0.964, 0.583, 0.260)
Br (0.192, 0.963, 0.261)
Na (0.525, 0.526, 0.425)
Na (0.027, 0.028, 0.917)
Mg (0.818, 0.819, 0.544)
Zn (0.318, 0.315, 0.051)

Output
- total energy (eV/f.u.) = -28.01
- theoretical density (Mg/m³) = 3.74
- calculated volume (Å³ per atom) = 27.3
- energy relative to the elements, uncorrected (eV/atom) = -1.25

Crystalline MgNbBr6 at its relaxed geometry, computed with GGA-PBE.

Cell lengths 6.678, 7.625, 7.394 Å; angles 104.97, 99.07, 124.75 degrees
Last column: magnetic moment on the atom in μB.
Fractional coordinates of all 8 atoms:
Br (0.137, 0.888, 0.275)  0.00
Br (0.863, 0.112, 0.725)  0.00
Br (0.138, 0.387, 0.275)  0.00
Br (0.862, 0.613, 0.725)  0.00
Br (0.461, 0.731, 0.000)  -0.02
Br (0.539, 0.269, 0.000)  -0.02
Mg (0.000, 0.000, 0.000)  0.01
Nb (0.000, 0.500, 0.000)  0.88

Output
- total energy (eV/f.u.) = -29.86
- theoretical density (Mg/m³) = 3.59
- distance to the lowest polymorph of the same formula (meV/atom) = 0.0
- calculated volume (Å³ per atom) = 34.5
- energy relative to the elements, uncorrected (eV/atom) = -1.02

Crystalline MgNbBr6 at its relaxed geometry, computed with GGA-PBE.

Cell lengths 6.700, 6.701, 7.151 Å; angles 62.06, 62.07, 60.01 degrees
Last column: magnetic moment on the atom in μB.
Fractional coordinates of all 8 atoms:
Br (0.090, 0.397, 0.753)  -0.01
Br (0.603, 0.240, 0.247)  -0.01
Br (0.760, 0.090, 0.753)  -0.01
Br (0.397, 0.760, 0.753)  -0.01
Br (0.910, 0.603, 0.247)  -0.01
Br (0.240, 0.910, 0.247)  -0.01
Mg (0.500, 0.500, 0.500)  0.01
Nb (0.000, 0.000, 0.000)  0.89

Output
- total energy (eV/f.u.) = -29.52
- theoretical density (Mg/m³) = 4.24
- distance to the lowest polymorph of the same formula (meV/atom) = 42.2
- calculated volume (Å³ per atom) = 29.2
- energy relative to the elements, uncorrected (eV/atom) = -0.98

Crystalline MgNb2NiBr at its relaxed geometry, computed with GGA-PBE.

Cell lengths 4.881, 4.675, 4.881 Å; angles 90.00, 90.00, 90.00 degrees
Fractional coordinates of all 5 atoms:
Nb (0.500, 0.000, 0.000)
Nb (0.000, 0.000, 0.500)
Br (0.000, 0.500, 0.000)
Ni (0.500, 0.500, 0.500)
Mg (0.000, 0.000, 0.000)

Output
- total energy (eV/f.u.) = -19.32
- theoretical density (Mg/m³) = 5.20
- calculated volume (Å³ per atom) = 22.3
- energy relative to the elements, uncorrected (eV/atom) = 1.97

Crystalline Rb2MgNbBr6 at its relaxed geometry, computed with GGA-PBE.

Cell lengths 7.681, 7.681, 7.680 Å; angles 60.00, 60.00, 90.00 degrees
Last column: magnetic moment on the atom in μB.
Fractional coordinates of all 10 atoms:
Br (0.748, 0.748, 0.505)  0.01
Br (0.252, 0.252, 0.495)  0.01
Br (0.748, 0.252, 0.000)  0.01
Br (0.252, 0.748, 0.000)  0.01
Br (0.748, 0.748, 0.000)  0.01
Br (0.252, 0.252, 0.000)  0.01
Rb (0.750, 0.250, 0.500)  0.00
Rb (0.250, 0.750, 0.500)  0.00
Mg (0.500, 0.500, 0.000)  0.00
Nb (0.000, 0.000, 0.000)  2.35

Output
- total energy (eV/f.u.) = -35.87
- theoretical density (Mg/m³) = 3.98
- calculated volume (Å³ per atom) = 32.0
- energy relative to the elements, uncorrected (eV/atom) = -1.22

Crystalline MgNbSe2Br at its relaxed geometry, computed with GGA-PBE.

Cell lengths 5.083, 5.083, 5.204 Å; angles 90.00, 90.00, 90.00 degrees
Fractional coordinates of all 5 atoms:
Nb (0.000, 0.000, 0.000)
Br (0.000, 0.000, 0.500)
Se (0.000, 0.500, 0.000)
Se (0.500, 0.000, 0.000)
Mg (0.500, 0.500, 0.500)

Output
- total energy (eV/f.u.) = -21.77
- theoretical density (Mg/m³) = 4.39
- distance to the lowest polymorph of the same formula (meV/atom) = 0.0
- calculated volume (Å³ per atom) = 26.9
- energy relative to the elements, uncorrected (eV/atom) = -0.29

Crystalline MgNbSe2Br at its relaxed geometry, computed with GGA-PBE.

Cell lengths 5.027, 5.027, 4.904 Å; angles 90.00, 90.00, 90.00 degrees
Last column: magnetic moment on the atom in μB.
Fractional coordinates of all 5 atoms:
Br (0.000, 0.000, 0.500)  -0.09
Mg (0.000, 0.000, 0.000)  0.00
Nb (0.500, 0.500, 0.500)  2.39
Se (0.500, 0.000, 0.000)  -0.24
Se (0.000, 0.500, 0.000)  -0.24

Output
- total energy (eV/f.u.) = -19.23
- theoretical density (Mg/m³) = 4.76
- distance to the lowest polymorph of the same formula (meV/atom) = 506.6
- calculated volume (Å³ per atom) = 24.8
- energy relative to the elements, uncorrected (eV/atom) = 0.21

Crystalline MgNbSeBr2 at its relaxed geometry, computed with GGA-PBE.

Cell lengths 4.966, 4.966, 5.332 Å; angles 90.00, 90.00, 90.00 degrees
Last column: magnetic moment on the atom in μB.
Fractional coordinates of all 5 atoms:
Mg (0.000, 0.000, 0.000)  0.00
Se (0.000, 0.000, 0.500)  -0.15
Br (0.000, 0.500, 0.000)  -0.03
Br (0.500, 0.000, 0.000)  -0.03
Nb (0.500, 0.500, 0.500)  2.66

Output
- total energy (eV/f.u.) = -18.23
- theoretical density (Mg/m³) = 4.50
- distance to the lowest polymorph of the same formula (meV/atom) = 319.2
- calculated volume (Å³ per atom) = 26.3
- energy relative to the elements, uncorrected (eV/atom) = 0.05

Crystalline MgNbSeBr2 at its relaxed geometry, computed with GGA-PBE.

Cell lengths 5.336, 5.336, 5.057 Å; angles 90.00, 90.00, 90.00 degrees
Last column: magnetic moment on the atom in μB.
Fractional coordinates of all 5 atoms:
Br (0.000, 0.500, 0.000)  0.03
Br (0.500, 0.000, 0.000)  0.03
Mg (0.500, 0.500, 0.500)  0.05
Se (0.000, 0.000, 0.500)  -0.04
Nb (0.000, 0.000, 0.000)  1.35

Output
- total energy (eV/f.u.) = -19.83
- theoretical density (Mg/m³) = 4.11
- distance to the lowest polymorph of the same formula (meV/atom) = 0.0
- calculated volume (Å³ per atom) = 28.8
- energy relative to the elements, uncorrected (eV/atom) = -0.27

Crystalline SrMgNbBr2 at its relaxed geometry, computed with GGA-PBE.

Cell lengths 5.141, 6.630, 5.141 Å; angles 90.00, 90.00, 90.00 degrees
Last column: magnetic moment on the atom in μB.
Fractional coordinates of all 5 atoms:
Sr (0.000, 0.500, 0.000)  0.05
Nb (0.000, 0.000, 0.000)  0.23
Br (0.000, 0.000, 0.500)  0.01
Br (0.500, 0.000, 0.000)  0.00
Mg (0.500, 0.500, 0.500)  0.01

Output
- total energy (eV/f.u.) = -16.19
- theoretical density (Mg/m³) = 3.46
- calculated volume (Å³ per atom) = 35.0
- energy relative to the elements, uncorrected (eV/atom) = 0.10

Crystalline Mg2ZrNbBr at its relaxed geometry, computed with GGA-PBE.

Cell lengths 5.545, 4.976, 5.545 Å; angles 90.00, 90.00, 90.00 degrees
Last column: magnetic moment on the atom in μB.
Fractional coordinates of all 5 atoms:
Nb (0.000, 0.000, 0.000)  1.08
Mg (0.500, 0.000, 0.000)  0.03
Mg (0.000, 0.000, 0.500)  0.01
Br (0.500, 0.500, 0.500)  0.06
Zr (0.000, 0.500, 0.000)  0.08

Output
- total energy (eV/f.u.) = -19.53
- theoretical density (Mg/m³) = 3.39
- distance to the lowest polymorph of the same formula (meV/atom) = 0.0
- calculated volume (Å³ per atom) = 30.6
- energy relative to the elements, uncorrected (eV/atom) = 0.79